Entry 1:
Density functional theory data (PBEsol) for crystalline SrCa2 at its relaxed geometry.

Properties
- distance to the lowest polymorph of the same formula (kJ/mol of formula units) = 0
- VASP energy (eV/atom) = -2.0238
- crystal system = orthorhombic
- E_form (eV per atom) = 0.0117

The structure in extended XYZ format:
```
3
Lattice="-1.136 -2.099 -3.182 -1.573 -4.184 3.321 -4.095 5.499 0.320" Properties=species:S:1:pos:R:3 pbc="T T T"
Ca -3.598 1.557 0.257
Ca -3.206 -2.340 0.202
Sr 0.000 0.000 0.000
```

***

Entry 2:
Density functional theory data (PBEsol) for crystalline CaCrN2F at its relaxed geometry.

Properties
- distance to the lowest polymorph of the same formula (kJ/mol of formula units) = 0
- VASP energy (eV/atom) = -7.4933
- uncorrected formation energy (eV per atom) = -1.2221
- crystal system = tetragonal

The structure in extended XYZ format:
```
5
Lattice="-2.466 -1.662 -2.186 2.189 0.583 -2.913 1.778 -3.479 0.640" Properties=species:S:1:pos:R:3 pbc="T T T"
Ca 0.751 -2.279 -2.229
N 1.095 0.291 -1.457
N -1.233 -0.831 -1.093
F 0.889 -1.740 0.320
Cr 0.000 0.000 0.000
```

***

Entry 3:
Density functional theory data (PBEsol) for crystalline LaOs2Rh at its relaxed geometry.

Properties
- distance to the lowest polymorph of the same formula (kJ/mol of formula units) = 8
- VASP energy (eV/atom) = -9.2511
- crystal system = monoclinic
- E_form (eV per atom) = 0.2280

The structure in extended XYZ format:
```
4
Lattice="-1.345 2.466 -0.509 -2.768 -0.827 3.310 3.936 1.654 3.705" Properties=species:S:1:pos:R:3 pbc="T T T"
Rh 1.028 2.453 1.473
La 1.151 1.297 4.203
Os -1.413 1.462 2.100
Os -0.994 2.608 -0.179
```

***

> What is the formula in the first record?

SrCa2

***

> What is the formula in the second record?

CaCrN2F